Material: Y3HoSc2
Method: DFT, PBE-GGA
State: relaxed

abc: 9.298 3.444 11.219
angles: 90.00 94.65 90.00
Positions (direct):
Y1 0.068 0.250 0.123
Y2 0.256 0.250 0.865
Y3 0.399 0.250 0.604
Y4 0.601 0.750 0.396
Y5 0.744 0.750 0.135
Y6 0.932 0.750 0.877
Ho1 0.238 0.750 0.356
Ho2 0.762 0.250 0.644
Sc1 0.080 0.750 0.618
Sc2 0.432 0.250 0.151
Sc3 0.568 0.750 0.849
Sc4 0.920 0.250 0.382

Computed properties:
energy of formation from the pure elements	11.01	kJ/mol of atoms
DOS at the Fermi energy	9.827	states/eV/f.u.
E above lowest polymorph	0.000	eV/atom
volume	29.8	A^3/atom
theoretical density	4.84	g cm⁻³